# 1
## LaY2Mg (GGA-PBEsol)

Data for a relaxed structure of LaY2Mg.

Cell: 3.755 5.569 5.716 Å, 90.00 90.00 90.00°
Element x y z (fractional)
1 La 0.000 0.000 0.000
2 Y 0.000 0.500 0.500
3 Y 0.500 0.500 0.000
4 Mg 0.500 0.000 0.500

Calculated values
Mass density, kg/m3: 4737
Symmetry: Pmmm (47)
VASP energy, eV per atom: -5.154
Formation energy, eV/atom: 0.023
Size of the total moment, μB/cell: 0.0

# 2
## KBaLi3 (GGA-PBEsol)

Data for a relaxed structure of KBaLi3.

Cell: 5.964 5.964 5.964 Å, 90.00 90.00 90.00°
Element x y z (fractional)
1 K 0.000 0.000 0.000
2 Ba 0.500 0.500 0.500
3 Li 0.000 0.000 0.500
4 Li 0.000 0.500 0.000
5 Li 0.500 0.000 0.000

Calculated values
Mass density, kg/m3: 1544
Symmetry: Pm-3m (221)
VASP energy, eV per atom: -1.442
Formation energy, eV/atom: 0.395
Size of the total moment, μB/cell: 0.0

# 3
## Ni3TeAs (GGA-PBEsol)

Data for a relaxed structure of Ni3TeAs.

Cell: 4.565 4.565 4.565 Å, 90.00 90.00 90.00°
Element x y z (fractional)
1 Ni 0.000 0.000 0.500
2 Ni 0.000 0.500 0.000
3 Ni 0.500 0.000 0.000
4 Te 0.000 0.000 0.000
5 As 0.500 0.500 0.500

Calculated values
Mass density, kg/m3: 6609
Symmetry: Pm-3m (221)
VASP energy, eV per atom: -4.492
Formation energy from raw total energies, eV per formula unit: 4.647
Size of the total moment, μB/cell: 0.0

# 4
## Ho3B7W (GGA-PBEsol)

Data for a relaxed structure of Ho3B7W.

Cell: 8.076 8.076 9.394 Å, 90.00 90.00 155.56°
Element x y z (fractional)
1 Ho 0.107 0.893 0.560
2 Ho 0.107 0.893 0.940
3 Ho 0.244 0.756 0.250
4 Ho 0.756 0.244 0.750
5 Ho 0.893 0.107 0.060
6 Ho 0.893 0.107 0.440
7 B 0.272 0.728 0.533
8 B 0.272 0.728 0.967
9 B 0.365 0.635 0.647
10 B 0.365 0.635 0.853
11 B 0.454 0.546 0.250
12 B 0.481 0.519 0.591
13 B 0.481 0.519 0.909
14 B 0.519 0.481 0.091
15 B 0.519 0.481 0.409
16 B 0.546 0.454 0.750
17 B 0.635 0.365 0.147
18 B 0.635 0.365 0.353
19 B 0.728 0.272 0.033
20 B 0.728 0.272 0.467
21 W 0.053 0.947 0.250
22 W 0.947 0.053 0.750

Calculated values
Mass density, kg/m3: 9882
Symmetry: Cmcm (63)
VASP energy, eV per atom: -7.750
Formation energy, eV/atom: -0.679
Size of the total moment, μB/cell: 0.0

# 5
## InTcCl2 (GGA-PBEsol)

Data for a relaxed structure of InTcCl2.

Cell: 5.402 5.402 6.014 Å, 115.37 115.37 32.89°
Element x y z (fractional)
1 In 0.000 0.000 0.000
2 Tc 0.731 0.731 0.996
3 Cl 0.156 0.156 0.658
4 Cl 0.339 0.339 0.332

Calculated values
Mass density, kg/m3: 5527
Symmetry: Cm (8)
VASP energy, eV per atom: -4.753
Formation energy from raw total energies, eV per formula unit: -0.745
Size of the total moment, μB/cell: 0.6

# 6
## Sr2ReTe (GGA-PBEsol)

Data for a relaxed structure of Sr2ReTe.

Cell: 5.466 5.466 5.466 Å, 120.51 120.51 89.11°
Element x y z (fractional)
1 Sr 0.250 0.750 0.500
2 Sr 0.750 0.250 0.500
3 Re 0.000 0.000 0.000
4 Te 0.500 0.500 0.000

Calculated values
Mass density, kg/m3: 7088
Symmetry: I4/mmm (139)
VASP energy, eV per atom: -4.666
Formation energy from raw total energies, eV per formula unit: 1.874
Size of the total moment, μB/cell: 3.0

# 7
## Ba4Y2Cu5O14 (GGA-PBEsol)

Data for a relaxed structure of Ba4Y2Cu5O14.

Cell: 5.393 5.393 12.282 Å, 102.34 102.34 90.00°
Element x y z (fractional)
1 Ba 0.250 0.750 0.000
2 Ba 0.455 0.955 0.386
3 Ba 0.750 0.250 0.000
4 Ba 0.955 0.455 0.386
5 Y 0.111 0.611 0.706
6 Y 0.611 0.111 0.706
7 Cu 0.034 0.034 0.549
8 Cu 0.360 0.360 0.205
9 Cu 0.534 0.534 0.550
10 Cu 0.666 0.666 0.821
11 Cu 0.859 0.859 0.202
12 O 0.137 0.637 0.203
13 O 0.270 0.270 0.052
14 O 0.294 0.294 0.572
15 O 0.296 0.798 0.575
16 O 0.426 0.426 0.816
17 O 0.426 0.902 0.816
18 O 0.441 0.441 0.362
19 O 0.637 0.137 0.203
20 O 0.770 0.770 0.047
21 O 0.796 0.796 0.572
22 O 0.798 0.296 0.575
23 O 0.902 0.426 0.816
24 O 0.902 0.902 0.816
25 O 0.939 0.939 0.359

Calculated values
Mass density, kg/m3: 6187
Symmetry: Cm (8)
VASP energy, eV per atom: -6.552
Formation energy from raw total energies, eV per formula unit: -46.404
Size of the total moment, μB/cell: 0.8

# 8
## KGaGeBi2 (GGA-PBEsol)

Data for a relaxed structure of KGaGeBi2.

Cell: 5.493 5.493 5.818 Å, 90.00 90.00 90.00°
Element x y z (fractional)
1 K 0.000 0.000 0.000
2 Ga 0.500 0.500 0.000
3 Ge 0.000 0.000 0.500
4 Bi 0.000 0.500 0.500
5 Bi 0.500 0.000 0.500

Calculated values
Mass density, kg/m3: 5669
Symmetry: P4/mmm (123)
VASP energy, eV per atom: -3.160
Formation energy, eV/atom: 0.437
Size of the total moment, μB/cell: 0.0

# 9
## BeSiCl2 (GGA-PBEsol)

Data for a relaxed structure of BeSiCl2.

Cell: 4.735 4.735 4.735 Å, 125.85 125.85 80.13°
Element x y z (fractional)
1 Be 0.000 0.000 0.000
2 Si 0.500 0.500 0.000
3 Cl 0.250 0.750 0.500
4 Cl 0.750 0.250 0.500

Calculated values
Mass density, kg/m3: 2664
Symmetry: I4/mmm (139)
VASP energy, eV per atom: -2.922
Formation energy from raw total energies, eV per formula unit: 2.073
Size of the total moment, μB/cell: 0.0

# 10
## BaIrCl2 (GGA-PBEsol)

Data for a relaxed structure of BaIrCl2.

Cell: 5.052 5.052 5.052 Å, 60.00 60.00 60.00°
Element x y z (fractional)
1 Ba 0.000 0.000 0.000
2 Ir 0.500 0.500 0.500
3 Cl 0.250 0.250 0.250
4 Cl 0.750 0.750 0.750

Calculated values
Mass density, kg/m3: 7295
Symmetry: Fm-3m (225)
VASP energy, eV per atom: -4.251
Formation energy from raw total energies, eV per formula unit: -1.015
Size of the total moment, μB/cell: 1.7

# 11
## LaSbAs2Br (GGA-PBEsol)

Data for a relaxed structure of LaSbAs2Br.

Cell: 5.665 5.665 5.439 Å, 90.00 90.00 90.00°
Element x y z (fractional)
1 La 0.000 0.000 0.000
2 Sb 0.500 0.500 0.500
3 As 0.000 0.500 0.000
4 As 0.500 0.000 0.000
5 Br 0.000 0.000 0.500

Calculated values
Mass density, kg/m3: 4664
Symmetry: P4/mmm (123)
VASP energy, eV per atom: -4.124
Formation energy from raw total energies, eV per formula unit: 1.369
Size of the total moment, μB/cell: 0.0

# 12
## LiCu2BiO4 (GGA-PBEsol)

Data for a relaxed structure of LiCu2BiO4.

Cell: 6.819 6.819 4.179 Å, 90.00 90.00 90.00°
Element x y z (fractional)
1 Li 0.250 0.750 0.000
2 Li 0.750 0.250 0.000
3 Cu 0.000 0.000 0.500
4 Cu 0.000 0.500 0.500
5 Cu 0.500 0.000 0.500
6 Cu 0.500 0.500 0.500
7 Bi 0.250 0.250 0.005
8 Bi 0.750 0.750 0.995
9 O 0.022 0.750 0.712
10 O 0.250 0.522 0.288
11 O 0.250 0.978 0.288
12 O 0.478 0.750 0.712
13 O 0.522 0.250 0.288
14 O 0.750 0.022 0.712
15 O 0.750 0.478 0.712
16 O 0.978 0.250 0.288

Calculated values
Mass density, kg/m3: 6956
Symmetry: P4/nmm (129)
VASP energy, eV per atom: -5.535
Formation energy from raw total energies, eV per formula unit: -8.360
Size of the total moment, μB/cell: 0.0

Q: What is the VASP energy in the eighth record?
A: -3.160 eV per atom

Copy entry 12 word for word.
## LiCu2BiO4 (GGA-PBEsol)

Data for a relaxed structure of LiCu2BiO4.

Cell: 6.819 6.819 4.179 Å, 90.00 90.00 90.00°
Element x y z (fractional)
1 Li 0.250 0.750 0.000
2 Li 0.750 0.250 0.000
3 Cu 0.000 0.000 0.500
4 Cu 0.000 0.500 0.500
5 Cu 0.500 0.000 0.500
6 Cu 0.500 0.500 0.500
7 Bi 0.250 0.250 0.005
8 Bi 0.750 0.750 0.995
9 O 0.022 0.750 0.712
10 O 0.250 0.522 0.288
11 O 0.250 0.978 0.288
12 O 0.478 0.750 0.712
13 O 0.522 0.250 0.288
14 O 0.750 0.022 0.712
15 O 0.750 0.478 0.712
16 O 0.978 0.250 0.288

Calculated values
Mass density, kg/m3: 6956
Symmetry: P4/nmm (129)
VASP energy, eV per atom: -5.535
Formation energy from raw total energies, eV per formula unit: -8.360
Size of the total moment, μB/cell: 0.0

What did the eleventh record say?
## LaSbAs2Br (GGA-PBEsol)

Data for a relaxed structure of LaSbAs2Br.

Cell: 5.665 5.665 5.439 Å, 90.00 90.00 90.00°
Element x y z (fractional)
1 La 0.000 0.000 0.000
2 Sb 0.500 0.500 0.500
3 As 0.000 0.500 0.000
4 As 0.500 0.000 0.000
5 Br 0.000 0.000 0.500

Calculated values
Mass density, kg/m3: 4664
Symmetry: P4/mmm (123)
VASP energy, eV per atom: -4.124
Formation energy from raw total energies, eV per formula unit: 1.369
Size of the total moment, μB/cell: 0.0